Record 1
Entry from Alexandria via LeMat-Bulk: crystalline FePtRh2 at its relaxed geometry (PBE).

Summary:
energy relative to the elements = 0.36 eV per atom
theoretical density = 12.4 g/cm3
crystal system = tetragonal

Cell and atoms, written as CIF:
```
data_FePtRh2
_cell_length_a 6.880
_cell_length_b 6.880
_cell_length_c 5.509
_cell_angle_alpha 51.36
_cell_angle_beta 51.36
_cell_angle_gamma 90.00
_symmetry_space_group_name_H-M 'P 1'
_symmetry_Int_Tables_number 1
loop_
_symmetry_equiv_pos_as_xyz
'x,y,z'
loop_
_atom_site_label
_atom_site_type_symbol
_atom_site_fract_x
_atom_site_fract_y
_atom_site_fract_z
Fe1 Fe 0.250 0.750 0.500
Rh1 Rh 0.588 0.125 0.250
Rh2 Rh 0.375 0.412 0.750
Rh3 Rh 0.875 0.838 0.750
Pt1 Pt 0.000 0.000 0.000
Pt2 Pt 0.750 0.250 0.500
Fe2 Fe 0.500 0.500 0.000
Rh4 Rh 0.162 0.625 0.250
```

=====

Record 2
Entry from Alexandria via LeMat-Bulk: crystalline FePtRh3 at its relaxed geometry (PBE).

Summary:
energy relative to the elements = 1.11 eV per atom
polymorph energy (0 for the lowest one) = 1087 meV per atom
theoretical density = 11.1 g/cm3
crystal system = cubic

Cell and atoms, written as CIF:
```
data_FePtRh3
_cell_length_a 4.376
_cell_length_b 4.376
_cell_length_c 4.376
_cell_angle_alpha 90.00
_cell_angle_beta 90.00
_cell_angle_gamma 90.00
_symmetry_space_group_name_H-M 'P 1'
_symmetry_Int_Tables_number 1
loop_
_symmetry_equiv_pos_as_xyz
'x,y,z'
loop_
_atom_site_label
_atom_site_type_symbol
_atom_site_fract_x
_atom_site_fract_y
_atom_site_fract_z
Fe1 Fe 0.000 0.000 0.000
Rh1 Rh 0.500 0.000 0.000
Rh2 Rh 0.000 0.000 0.500
Pt1 Pt 0.500 0.500 0.500
Rh3 Rh 0.000 0.500 0.000
```

=====

Record 3
Entry from Alexandria via LeMat-Bulk: crystalline FePtRh6 at its relaxed geometry (PBE).

Summary:
energy relative to the elements = -0.02 eV per atom
polymorph energy (0 for the lowest one) = 0 meV per atom
theoretical density = 12.7 g/cm3
crystal system = tetragonal

Cell and atoms, written as CIF:
```
data_FePtRh6
_cell_length_a 3.822
_cell_length_b 5.446
_cell_length_c 5.446
_cell_angle_alpha 90.01
_cell_angle_beta 90.00
_cell_angle_gamma 90.00
_symmetry_space_group_name_H-M 'P 1'
_symmetry_Int_Tables_number 1
loop_
_symmetry_equiv_pos_as_xyz
'x,y,z'
loop_
_atom_site_label
_atom_site_type_symbol
_atom_site_fract_x
_atom_site_fract_y
_atom_site_fract_z
Fe1 Fe 0.500 0.000 0.000
Rh1 Rh 0.500 0.500 0.000
Rh2 Rh 0.000 0.246 0.754
Rh3 Rh 0.000 0.755 0.755
Rh4 Rh 0.000 0.245 0.245
Rh5 Rh 0.500 0.000 0.500
Pt1 Pt 0.500 0.500 0.500
Rh6 Rh 0.000 0.754 0.246
```

=====

Record 4
Entry from Alexandria via LeMat-Bulk: crystalline FePtRh6 at its relaxed geometry (PBE).

Summary:
energy relative to the elements = -0.01 eV per atom
polymorph energy (0 for the lowest one) = 4 meV per atom
theoretical density = 12.6 g/cm3
crystal system = hexagonal

Cell and atoms, written as CIF:
```
data_FePtRh6
_cell_length_a 4.429
_cell_length_b 5.455
_cell_length_c 5.455
_cell_angle_alpha 120.00
_cell_angle_beta 90.00
_cell_angle_gamma 90.00
_symmetry_space_group_name_H-M 'P 1'
_symmetry_Int_Tables_number 1
loop_
_symmetry_equiv_pos_as_xyz
'x,y,z'
loop_
_atom_site_label
_atom_site_type_symbol
_atom_site_fract_x
_atom_site_fract_y
_atom_site_fract_z
Rh1 Rh 0.500 0.416 0.083
Pt1 Pt 0.000 0.083 0.917
Fe1 Fe 0.500 0.417 0.583
Rh2 Rh 0.500 0.917 0.584
Rh3 Rh 0.000 0.583 0.417
Rh4 Rh 0.000 0.583 0.917
Rh5 Rh 0.500 0.917 0.083
Rh6 Rh 0.000 0.083 0.417
```

=====

Repeat the third record exactly.
Entry from Alexandria via LeMat-Bulk: crystalline FePtRh6 at its relaxed geometry (PBE).

Summary:
energy relative to the elements = -0.02 eV per atom
polymorph energy (0 for the lowest one) = 0 meV per atom
theoretical density = 12.7 g/cm3
crystal system = tetragonal

Cell and atoms, written as CIF:
```
data_FePtRh6
_cell_length_a 3.822
_cell_length_b 5.446
_cell_length_c 5.446
_cell_angle_alpha 90.01
_cell_angle_beta 90.00
_cell_angle_gamma 90.00
_symmetry_space_group_name_H-M 'P 1'
_symmetry_Int_Tables_number 1
loop_
_symmetry_equiv_pos_as_xyz
'x,y,z'
loop_
_atom_site_label
_atom_site_type_symbol
_atom_site_fract_x
_atom_site_fract_y
_atom_site_fract_z
Fe1 Fe 0.500 0.000 0.000
Rh1 Rh 0.500 0.500 0.000
Rh2 Rh 0.000 0.246 0.754
Rh3 Rh 0.000 0.755 0.755
Rh4 Rh 0.000 0.245 0.245
Rh5 Rh 0.500 0.000 0.500
Pt1 Pt 0.500 0.500 0.500
Rh6 Rh 0.000 0.754 0.246
```

=====

Among the records above, which one has the lowest theoretical density?
FePtRh3

=====

Which value of theoretical density does entry 1 give?
12.4 g/cm3

=====

What is the theoretical density in the third record?
12.7 g/cm3